[1]
KCo2Ni | GGA-PBEsol | optimized geometry

Cell: 2.595 2.595 9.508 Å, 82.16 82.16 60.00°
Last column: magnetic moment on the atom in μB.
Fractional positions:
Co  0.265  0.265  0.204  1.63
Co  0.735  0.735  0.796  1.63
K  0.500  0.500  0.500  -0.07
Ni  0.000  0.000  0.000  0.73

Properties
* E: -4.855 eV per atom
* space-group type: No. 166

***

[2]
Ca4MoRh | GGA-PBEsol | optimized geometry

Cell: 5.976 5.976 5.976 Å, 60.00 60.00 60.00°
Last column: magnetic moment on the atom in μB.
Fractional positions:
Ca  0.374  0.374  0.374  0.01
Ca  0.374  0.374  0.877  0.01
Ca  0.877  0.374  0.374  0.01
Ca  0.374  0.877  0.374  0.01
Mo  0.750  0.750  0.750  2.86
Rh  0.000  0.000  0.000  0.31

Properties
* E: -3.535 eV per atom
* space-group type: No. 216

***

[3]
HfBeI3 | GGA-PBEsol | optimized geometry

Cell: 5.044 5.044 5.044 Å, 90.00 90.00 90.00°
Last column: magnetic moment on the atom in μB.
Fractional positions:
I  0.000  0.500  0.000  -0.02
I  0.000  0.000  0.500  -0.02
I  0.500  0.000  0.000  -0.02
Be  0.000  0.000  0.000  -0.01
Hf  0.500  0.500  0.500  0.76

Properties
* formation energy without anion corrections: 0.464 eV per atom
* E: -3.497 eV per atom
* space-group type: No. 221

***

[4]
InSiRu2 | GGA-PBEsol | optimized geometry

Cell: 2.961 2.961 6.477 Å, 90.00 90.00 90.00°
Fractional positions:
Ru  0.000  0.000  0.788
Ru  0.000  0.000  0.212
Si  0.500  0.500  0.000
In  0.500  0.500  0.500

Properties
* formation energy without anion corrections: -0.338 eV per atom
* E: -7.606 eV per atom
* space-group type: No. 123

***

[5]
RbTaRePd2 | GGA-PBEsol | optimized geometry

Cell: 4.803 4.803 5.377 Å, 90.00 90.00 90.00°
Last column: magnetic moment on the atom in μB.
Fractional positions:
Re  0.500  0.500  0.500  3.36
Rb  0.000  0.000  0.500  0.00
Pd  0.000  0.500  0.000  -0.06
Pd  0.500  0.000  0.000  -0.06
Ta  0.000  0.000  0.000  -0.17

Properties
* E: -5.378 eV per atom
* space-group type: No. 123

***

[6]
AgOs3F | GGA-PBEsol | optimized geometry

Cell: 4.807 4.807 4.807 Å, 90.00 90.00 90.00°
Last column: magnetic moment on the atom in μB.
Fractional positions:
Os  0.000  0.500  0.000  2.21
Os  0.000  0.000  0.500  2.21
Os  0.500  0.000  0.000  2.21
Ag  0.000  0.000  0.000  0.18
F  0.500  0.500  0.500  0.25

Properties
* formation energy without anion corrections: 3.377 eV per atom
* E: -5.000 eV per atom
* space-group type: No. 221